Model a:
Below is a relaxed PrGdNi4 crystal, with properties calculated at the PBE level.

Cell lengths 7.2684, 7.2684, 7.2684 Å; angles 90.00, 90.00, 90.00 degrees
With the nearest neighbours (Å) after each atom.
Space group F-43m (No. 216)
One atom of each set of equivalent atoms:
Pr 0.0000 0.0000 0.0000 (multiplicity 4)  12 Ni 3.01, 4 Gd 3.15
Gd 0.2500 0.2500 0.2500 (multiplicity 4)  12 Ni 3.01, 4 Pr 3.15
Ni 0.1244 0.1244 0.6244 (multiplicity 16)  6 Ni 2.56-2.58

Calculated values
Magnetization   0.00 μB/atom

***

Model b:
Below is a relaxed PrGdNi4 crystal, with properties calculated at the PBE level.

Cell lengths 5.4820, 5.4820, 7.9764 Å; angles 90.00, 90.00, 120.00 degrees
With the nearest neighbours (Å) after each atom.
Space group P6/mmm (No. 191)
One atom of each set of equivalent atoms:
Pr 0.0000 0.0000 0.0000 (multiplicity 1)  6 Gd 3.17, 12 Ni 3.52
Pr 0.0000 0.0000 0.5000 (multiplicity 1)  18 Ni 3.17-3.27
Gd 0.3333 0.6667 0.0000 (multiplicity 2)  6 Ni 2.71
Ni 0.0000 0.5000 0.2762 (multiplicity 6)  2 Ni 2.39
Ni 0.3333 0.6667 0.5000 (multiplicity 2)  6 Ni 2.39

Calculated values
Magnetization   0.00 μB/atom

***

Relative energies in meV/atom: model a 0; model b 354

***

Model a:
Below is a relaxed RbGdNiS3 crystal, with properties calculated at the PBE level.

Cell lengths 10.9940, 4.1487, 12.0675 Å; angles 90.00, 90.00, 90.00 degrees
With the nearest neighbours (Å) after each atom.
Space group Pnma (No. 62)
One atom of each set of equivalent atoms:
Rb 0.1627 0.2500 0.0079 (multiplicity 4)  8 S 3.28-3.58, 3 Ni 3.48-3.55
Gd 0.0106 0.2500 0.6601 (multiplicity 4)  7 S 2.77-3.02
Ni 0.2419 0.2500 0.2928 (multiplicity 4)  4 S 2.22-2.32
S 0.0555 0.7500 0.8062 (multiplicity 4)  1 Ni 2.23
S 0.1152 0.2500 0.4464 (multiplicity 4)  1 Ni 2.32
S 0.2250 0.7500 0.2294 (multiplicity 4)  2 Ni 2.22

Calculated values
Magnetization   0.04 μB/atom

***

Model b:
Below is a relaxed RbGdNiS3 crystal, with properties calculated at the PBE level.

Cell lengths 3.9614, 14.7177, 10.4691 Å; angles 90.00, 90.00, 90.00 degrees
With the nearest neighbours (Å) after each atom.
Space group Cmcm (No. 63)
One atom of each set of equivalent atoms:
Rb 0.0000 0.2424 0.2500 (multiplicity 4)  6 S 3.40-3.43
Gd 0.0000 0.5000 0.0000 (multiplicity 4)  6 S 2.73-2.75
Ni 0.0000 0.0318 0.7500 (multiplicity 4)  4 S 2.26-2.33
S 0.0000 0.1192 0.5723 (multiplicity 8)  1 Ni 2.26
S 0.0000 0.4481 0.7500 (multiplicity 4)  2 Ni 2.33

Calculated values
Magnetization   0.33 μB/atom

***

Relative energies in meV/atom: model a 30; model b 0

***

Model a:
Below is a relaxed RbGdNiTe3 crystal, with properties calculated at the PBE level.

Cell lengths 11.5070, 4.2944, 16.2875 Å; angles 90.00, 90.00, 90.00 degrees
With the nearest neighbours (Å) after each atom.
Space group Pnma (No. 62)
One atom of each set of equivalent atoms:
Rb 0.2449 0.2500 0.0086 (multiplicity 4)  7 Te 3.67-4.05
Gd 0.0049 0.7500 0.2510 (multiplicity 4)  6 Te 3.03-3.09
Ni 0.2468 0.7500 0.7814 (multiplicity 4)  4 Te 2.58-2.60
Te 0.0668 0.7500 0.8757 (multiplicity 4)  1 Ni 2.58
Te 0.0748 0.2500 0.3775 (multiplicity 4)  1 Ni 2.58
Te 0.2457 0.2500 0.6912 (multiplicity 4)  2 Ni 2.60

Calculated values
Magnetization   0.23 μB/atom

***

Model b:
Below is a relaxed RbGdNiTe3 crystal, with properties calculated at the PBE level.

Cell lengths 12.0621, 4.5617, 13.6473 Å; angles 90.00, 90.00, 90.00 degrees
With the nearest neighbours (Å) after each atom.
Space group Pnma (No. 62)
One atom of each set of equivalent atoms:
Rb 0.1627 0.2500 0.0002 (multiplicity 4)  7 Te 3.57-3.76, 2 Ni 3.86
Gd 0.0027 0.2500 0.3363 (multiplicity 4)  7 Te 3.11-3.38
Ni 0.2294 0.2500 0.7079 (multiplicity 4)  4 Te 2.53-2.58
Te 0.0580 0.7500 0.1889 (multiplicity 4)  1 Ni 2.58
Te 0.1168 0.2500 0.5489 (multiplicity 4)  1 Ni 2.56
Te 0.2223 0.7500 0.7875 (multiplicity 4)  2 Ni 2.53

Calculated values
Magnetization   0.00 μB/atom

***

Model c:
Below is a relaxed RbGdNiTe3 crystal, with properties calculated at the PBE level.

Cell lengths 9.7234, 4.3341, 10.4933 Å; angles 90.00, 110.82, 90.00 degrees
With the nearest neighbours (Å) after each atom.
Space group P2_1/m (No. 11)
One atom of each set of equivalent atoms:
Rb 0.2165 0.2500 0.2635 (multiplicity 2)  7 Te 3.61-3.90
Gd 0.3224 0.7500 0.8615 (multiplicity 2)  6 Te 3.07-3.18
Ni 0.0962 0.2500 0.6237 (multiplicity 2)  4 Te 2.53-2.54
Te 0.1006 0.2500 0.8675 (multiplicity 2)  1 Ni 2.54
Te 0.1679 0.7500 0.5391 (multiplicity 2)  3 Ni 2.53
Te 0.4654 0.7500 0.1738 (multiplicity 2)  3 Gd 3.07-3.10

Calculated values
Magnetization   0.00 μB/atom

***

Relative energies in meV/atom: model a 29; model b 61; model c 0

***

Model a:
Below is a relaxed RbGdNiTe3 crystal, with properties calculated at the PBE level.

Cell lengths 12.0134, 4.5433, 13.7905 Å; angles 90.00, 90.00, 90.00 degrees
With the nearest neighbours (Å) after each atom.
Space group Pnma (No. 62)
One atom of each set of equivalent atoms:
Rb 0.1603 0.2500 0.0016 (multiplicity 4)  7 Te 3.55-3.79, 2 Ni 3.89
Gd 0.0006 0.2500 0.3370 (multiplicity 4)  7 Te 3.12-3.39
Ni 0.2295 0.2500 0.7090 (multiplicity 4)  4 Te 2.52-2.58
Te 0.0578 0.7500 0.1903 (multiplicity 4)  1 Ni 2.57
Te 0.1193 0.2500 0.5484 (multiplicity 4)  1 Ni 2.58
Te 0.2231 0.7500 0.7887 (multiplicity 4)  2 Ni 2.52

Calculated values
Magnetization   0.00 μB/atom

***

Model b:
Below is a relaxed RbGdNiTe3 crystal, with properties calculated at the PBE level.

Cell lengths 16.8338, 4.3211, 11.4533 Å; angles 90.00, 90.00, 90.00 degrees
With the nearest neighbours (Å) after each atom.
Space group Pnma (No. 62)
One atom of each set of equivalent atoms:
Rb 0.2301 0.2500 0.0204 (multiplicity 4)  7 Te 3.64-3.90
Gd 0.0217 0.2500 0.3432 (multiplicity 4)  6 Te 3.06-3.18, 2 Ni 3.43
Ni 0.0129 0.7500 0.1116 (multiplicity 4)  4 Te 2.53-2.55
Te 0.0649 0.7500 0.9038 (multiplicity 4)  3 Ni 2.53
Te 0.1015 0.2500 0.5837 (multiplicity 4)  3 Gd 3.06-3.11
Te 0.1343 0.7500 0.2442 (multiplicity 4)  1 Ni 2.55

Calculated values
Magnetization   0.00 μB/atom

***

Model c:
Below is a relaxed RbGdNiTe3 crystal, with properties calculated at the PBE level.

Cell lengths 11.0090, 4.3875, 16.0563 Å; angles 90.00, 90.00, 90.00 degrees
With the nearest neighbours (Å) after each atom.
Space group Pnma (No. 62)
One atom of each set of equivalent atoms:
Rb 0.0409 0.2500 0.1663 (multiplicity 4)  8 Te 3.57-3.81
Gd 0.1538 0.7500 0.4431 (multiplicity 4)  6 Te 3.04-3.17
Ni 0.1504 0.2500 0.6224 (multiplicity 4)  4 Te 2.53-2.57
Te 0.0339 0.7500 0.6174 (multiplicity 4)  2 Ni 2.54
Te 0.1826 0.7500 0.0104 (multiplicity 4)  1 Ni 2.57
Te 0.2271 0.2500 0.7708 (multiplicity 4)  1 Ni 2.53

Calculated values
Magnetization   0.13 μB/atom

***

Model d:
Below is a relaxed RbGdNiTe3 crystal, with properties calculated at the PBE level.

Cell lengths 17.3576, 4.5719, 9.7797 Å; angles 90.00, 94.89, 90.00 degrees
With the nearest neighbours (Å) after each atom.
Space group C2/m (No. 12)
One atom of each set of equivalent atoms:
Rb 0.1489 0.0000 0.0866 (multiplicity 4)  6 Te 3.50-3.69
Gd 0.1655 0.0000 0.5897 (multiplicity 4)  6 Te 2.93-3.16
Ni 0.0034 0.5000 0.3631 (multiplicity 4)  4 Te 2.58-2.68, 1 Ni 2.69
Te 0.0000 0.0000 0.5000 (multiplicity 2)  4 Ni 2.65, 2 Gd 2.93
Te 0.0000 0.5000 0.0000 (multiplicity 2)  2 Te 3.11
Te 0.1251 0.5000 0.7902 (multiplicity 4)  1 Ni 2.58
Te 0.1581 0.5000 0.3654 (multiplicity 4)  1 Ni 2.68

Calculated values
Magnetization   0.04 μB/atom

***

Relative energies in meV/atom: model a 63; model b 0; model c 90; model d 165